Material: Tm2TlSb
Method: DFT, PBE
State: optimized geometry

Structure (extended XYZ):
```
4
Lattice="-1.9481 -4.0997 1.8072 2.8352 -3.8901 0.8352 1.2209 -0.9310 5.8079" Properties=species:S:1:pos:R:3 pbc="T T T"
Sb 1.0540 -4.4605 4.2252
Tl 0.0000 0.0000 0.0000
Tm 1.5858 -6.6817 6.3634
Tm 0.5222 -2.2392 2.0869
```

Output
SG = R-3m
electronic total energy = -4.36 eV/atom
energy relative to the elements, uncorrected = -500.2 meV per atom
relative energy among the computed polymorphs = 87 meV/atom